La2SmY6Er: optimized geometry, PBE.

Cell and atoms, written as CIF:
```
data_La2SmY6Er
_chemical_formula_sum 'La8 Sm4 Y24 Er4'
_symmetry_space_group_name_H-M 'C 1 2/c 1'
_symmetry_Int_Tables_number 15
_cell_length_a 9.115
_cell_length_b 14.990
_cell_length_c 9.972
_cell_angle_alpha 90.00
_cell_angle_beta 101.02
_cell_angle_gamma 90.00
loop_
_symmetry_equiv_pos_as_xyz
'x,y,z'
'-x,-y,-z'
'-x,y,-z+1/2'
'x,-y,z+1/2'
'x+1/2,y+1/2,z'
'-x+1/2,-y+1/2,-z'
'-x+1/2,y+1/2,-z+1/2'
'x+1/2,-y+1/2,z+1/2'
loop_
_atom_site_label
_atom_site_type_symbol
_atom_site_fract_x
_atom_site_fract_y
_atom_site_fract_z
La1 La 0.239 0.047 0.045
Sm1 Sm 0.000 0.013 0.750
Y1 Y 0.073 0.191 0.443
Y2 Y 0.094 0.396 0.617
Y3 Y 0.201 0.221 0.812
Er1 Er 0.000 0.404 0.250
```

ΔE_f   114 meV/atom
D(E_F)   59.70 states/eV per cell

---

La2SmY6Er2: optimized geometry, PBE.

Cell and atoms, written as CIF:
```
data_La2SmY6Er2
_chemical_formula_sum 'La4 Sm2 Y12 Er4'
_symmetry_space_group_name_H-M 'C 1 2/m 1'
_symmetry_Int_Tables_number 12
_cell_length_a 6.215
_cell_length_b 10.611
_cell_length_c 11.541
_cell_angle_alpha 90.00
_cell_angle_beta 91.07
_cell_angle_gamma 90.00
loop_
_symmetry_equiv_pos_as_xyz
'x,y,z'
'-x,-y,-z'
'-x,y,-z'
'x,-y,z'
'x+1/2,y+1/2,z'
'-x+1/2,-y+1/2,-z'
'-x+1/2,y+1/2,-z'
'x+1/2,-y+1/2,z'
loop_
_atom_site_label
_atom_site_type_symbol
_atom_site_fract_x
_atom_site_fract_y
_atom_site_fract_z
La1 La 0.000 0.175 0.000
Sm1 Sm 0.000 0.500 0.500
Y1 Y 0.177 0.334 0.745
Y2 Y 0.183 0.000 0.750
Er1 Er 0.000 0.166 0.500
```

ΔE_f   167 meV/atom
D(E_F)   35.13 states/eV per cell

---

La5Sm2YEr: optimized geometry, PBE.

Cell and atoms, written as CIF:
```
data_La5Sm2YEr
_chemical_formula_sum 'La20 Sm8 Y4 Er4'
_symmetry_space_group_name_H-M 'I 4/m c m'
_symmetry_Int_Tables_number 140
_symmetry_space_group_name_Hall '-I 4 2c'
_cell_length_a 8.675
_cell_length_b 8.675
_cell_length_c 17.138
_cell_angle_alpha 90.00
_cell_angle_beta 90.00
_cell_angle_gamma 90.00
loop_
_atom_site_label
_atom_site_type_symbol
_atom_site_fract_x
_atom_site_fract_y
_atom_site_fract_z
La1 La 0.000 0.000 0.000
La2 La 0.218 0.282 0.143
Sm1 Sm 0.123 0.377 0.500
Y1 Y 0.000 0.500 0.250
Er1 Er 0.000 0.000 0.250
```

ΔE_f   278 meV/atom
D(E_F)   66.82 states/eV per cell

---

La2Sm2YEr2: optimized geometry, PBE.

Cell and atoms, written as CIF:
```
data_La2Sm2YEr2
_chemical_formula_sum 'La4 Sm4 Y2 Er4'
_symmetry_space_group_name_H-M 'C 1 2/m 1'
_symmetry_Int_Tables_number 12
_cell_length_a 11.439
_cell_length_b 5.122
_cell_length_c 8.115
_cell_angle_alpha 90.00
_cell_angle_beta 98.09
_cell_angle_gamma 90.00
loop_
_symmetry_equiv_pos_as_xyz
'x,y,z'
'-x,-y,-z'
'-x,y,-z'
'x,-y,z'
'x+1/2,y+1/2,z'
'-x+1/2,-y+1/2,-z'
'-x+1/2,y+1/2,-z'
'x+1/2,-y+1/2,z'
loop_
_atom_site_label
_atom_site_type_symbol
_atom_site_fract_x
_atom_site_fract_y
_atom_site_fract_z
La1 La 0.142 0.000 0.426
Sm1 Sm 0.215 0.500 0.140
Y1 Y 0.000 0.000 0.000
Er1 Er 0.071 0.500 0.717
```

ΔE_f   28 meV/atom
D(E_F)   22.23 states/eV per cell

---

LaSmY3Er: optimized geometry, PBE.

Cell and atoms, written as CIF:
```
data_LaSmY3Er
_chemical_formula_sum 'La4 Sm4 Y12 Er4'
_symmetry_space_group_name_H-M 'C m c m'
_symmetry_Int_Tables_number 63
_symmetry_space_group_name_Hall '-C 2c 2'
_cell_length_a 5.897
_cell_length_b 11.498
_cell_length_c 11.794
_cell_angle_alpha 90.00
_cell_angle_beta 90.00
_cell_angle_gamma 90.00
loop_
_atom_site_label
_atom_site_type_symbol
_atom_site_fract_x
_atom_site_fract_y
_atom_site_fract_z
La1 La 0.000 0.007 0.250
Sm1 Sm 0.000 0.500 0.000
Y1 Y 0.000 0.174 0.505
Y2 Y 0.000 0.327 0.250
Er1 Er 0.000 0.332 0.750
```

ΔE_f   108 meV/atom
D(E_F)   50.89 states/eV per cell

---

LaSm6Y3Er2: optimized geometry, PBE.

Cell and atoms, written as CIF:
```
data_LaSm6Y3Er2
_chemical_formula_sum 'La2 Sm12 Y6 Er4'
_symmetry_space_group_name_H-M 'C 1 2/m 1'
_symmetry_Int_Tables_number 12
_cell_length_a 6.248
_cell_length_b 10.820
_cell_length_c 11.927
_cell_angle_alpha 90.00
_cell_angle_beta 100.04
_cell_angle_gamma 90.00
loop_
_symmetry_equiv_pos_as_xyz
'x,y,z'
'-x,-y,-z'
'-x,y,-z'
'x,-y,z'
'x+1/2,y+1/2,z'
'-x+1/2,-y+1/2,-z'
'-x+1/2,y+1/2,-z'
'x+1/2,-y+1/2,z'
loop_
_atom_site_label
_atom_site_type_symbol
_atom_site_fract_x
_atom_site_fract_y
_atom_site_fract_z
La1 La 0.000 0.000 0.000
Sm1 Sm 0.249 0.333 0.749
Sm2 Sm 0.249 0.500 0.251
Y1 Y 0.000 0.167 0.500
Y2 Y 0.000 0.500 0.500
Er1 Er 0.000 0.333 0.000
```

ΔE_f   19 meV/atom
D(E_F)   32.28 states/eV per cell

---

La2Sm5YEr: optimized geometry, PBE.

Cell and atoms, written as CIF:
```
data_La2Sm5YEr
_chemical_formula_sum 'La8 Sm20 Y4 Er4'
_symmetry_space_group_name_H-M 'C m c 21'
_symmetry_Int_Tables_number 36
_cell_length_a 5.711
_cell_length_b 20.259
_cell_length_c 10.781
_cell_angle_alpha 90.00
_cell_angle_beta 90.00
_cell_angle_gamma 90.00
loop_
_symmetry_equiv_pos_as_xyz
'x,y,z'
'-x,-y,z+1/2'
'-x,y,z'
'x,-y,z+1/2'
'x+1/2,y+1/2,z'
'-x+1/2,-y+1/2,z+1/2'
'-x+1/2,y+1/2,z'
'x+1/2,-y+1/2,z+1/2'
loop_
_atom_site_label
_atom_site_type_symbol
_atom_site_fract_x
_atom_site_fract_y
_atom_site_fract_z
La1 La 0.000 0.114 0.000
La2 La 0.000 0.117 0.583
Sm1 Sm 0.000 0.015 0.287
Sm2 Sm 0.000 0.278 0.577
Sm3 Sm 0.000 0.297 0.971
Sm4 Sm 0.000 0.385 0.288
Sm5 Sm 0.000 0.482 0.009
Y1 Y 0.000 0.408 0.729
Er1 Er 0.000 0.201 0.277
```

ΔE_f   134 meV/atom
D(E_F)   51.22 states/eV per cell

---

LaSm3Y2Er6: optimized geometry, PBE.

Cell and atoms, written as CIF:
```
data_LaSm3Y2Er6
_chemical_formula_sum 'La2 Sm6 Y4 Er12'
_symmetry_space_group_name_H-M 'C 1 2/m 1'
_symmetry_Int_Tables_number 12
_cell_length_a 6.186
_cell_length_b 10.711
_cell_length_c 11.793
_cell_angle_alpha 90.00
_cell_angle_beta 100.04
_cell_angle_gamma 90.00
loop_
_symmetry_equiv_pos_as_xyz
'x,y,z'
'-x,-y,-z'
'-x,y,-z'
'x,-y,z'
'x+1/2,y+1/2,z'
'-x+1/2,-y+1/2,-z'
'-x+1/2,y+1/2,-z'
'x+1/2,-y+1/2,z'
loop_
_atom_site_label
_atom_site_type_symbol
_atom_site_fract_x
_atom_site_fract_y
_atom_site_fract_z
La1 La 0.000 0.000 0.000
Sm1 Sm 0.000 0.167 0.500
Sm2 Sm 0.000 0.500 0.500
Y1 Y 0.000 0.333 0.000
Er1 Er 0.249 0.333 0.749
Er2 Er 0.250 0.000 0.749
```

ΔE_f   21 meV/atom
D(E_F)   30.69 states/eV per cell

---

| no. | theoretical density (g/cm³) |
| --- | --- |
| 1 | 5.6 |
| 2 | 5.7 |
| 3 | 6.4 |
| 4 | 7.1 |
| 5 | 6.0 |
| 6 | 6.9 |
| 7 | 6.8 |
| 8 | 7.6 |